# 1
Density functional theory data (PBE-GGA) for a relaxed structure of La5PmY3.

Cell and atoms, written as extended XYZ:
```
18
Lattice="-4.4184 4.4184 8.2248 4.4184 -4.4184 8.2248 4.4184 4.4184 -8.2248" Properties=species:S:1:pos:R:3 pbc="T T T"
La 0.0000 0.0000 0.0000
La 6.1821 1.7637 -2.3360
La 1.7637 2.6547 -2.3360
La 6.1821 1.7637 2.3360
La 1.7637 2.6547 2.3360
La 0.0000 0.0000 8.2248
La 2.6547 1.7637 5.8888
La -1.7637 2.6547 5.8888
La 2.6547 1.7637 10.5608
La -1.7637 2.6547 10.5608
Pm 4.4184 0.0000 4.1124
Pm 0.0000 4.4184 4.1124
Y 3.3505 1.0678 0.0000
Y 0.0000 0.0000 4.1124
Y 3.3505 -1.0678 8.2248
Y 1.0678 5.4862 0.0000
Y 0.0000 0.0000 12.3372
Y 1.0678 3.3505 8.2248
```

Summary:
Symmetry ... I4/mcm
Formation enthalpy at 0 K ... 284 meV/atom

---

# 2
Density functional theory data (PBE-GGA) for a relaxed structure of Mg2IrBr.

Cell and atoms, written as extended XYZ:
```
8
Lattice="4.4168 0.0000 0.0000 0.0000 3.2927 0.0000 0.0000 0.0000 10.2162" Properties=species:S:1:pos:R:3 pbc="T T T"
Mg 0.0000 0.0000 0.0000
Mg 0.0000 1.6463 5.1081
Mg 2.2084 0.0000 3.0093
Mg 2.2084 1.6463 8.1174
Ir 0.0000 0.0000 7.5755
Ir 0.0000 1.6463 2.4674
Br 2.2084 0.0000 5.7033
Br 2.2084 1.6463 0.5952
```

Summary:
Symmetry ... Amm2
ΔE_f (raw) ... -237 meV per atom

---

# 3
Density functional theory data (PBE-GGA) for a relaxed structure of CaSi2Au.

Cell and atoms, written as extended XYZ:
```
4
Lattice="3.4929 0.0000 0.0000 0.0000 3.6596 0.0000 0.0000 0.0000 6.3595" Properties=species:S:1:pos:R:3 pbc="T T T"
Ca 0.0000 0.0000 0.0000
Si 1.7465 1.8298 2.0119
Si 1.7465 1.8298 4.3476
Au 0.0000 0.0000 3.1797
```

Summary:
Symmetry ... Pmmm
ΔE_f (raw) ... -96 meV per atom

---

# 4
Density functional theory data (PBE-GGA) for a relaxed structure of SnSb2SeI.

Cell and atoms, written as extended XYZ:
```
5
Lattice="5.7834 0.0000 0.0000 0.0000 5.7834 0.0000 0.0000 0.0000 5.2264" Properties=species:S:1:pos:R:3 pbc="T T T"
Sn 0.0000 0.0000 0.0000
Sb 0.0000 2.8917 0.0000
Sb 2.8917 0.0000 0.0000
Se 0.0000 0.0000 2.6132
I 2.8917 2.8917 2.6132
```

Summary:
Symmetry ... P4/mmm
ΔE_f (raw) ... 537 meV per atom